Density functional theory data (GGA-PBE) for a relaxed CsSm3Se4 crystal.

For the total DFT energy (no corrections), the calculation gives -86.19 eV for the cell shown. For the total moment, the calculation gives 0.0 μB/cell.

Unit cell a=4.2585 b=4.2585 c=30.2744 alpha=90.00 beta=90.00 gamma=120.00
Closest atoms and distances in Å follow each position.
Space group P6_3/mmc (No. 194)
Asymmetric unit:
Cs (0.3333, 0.6667, 0.2500)  6 Se 3.59
Sm (0.0000, 0.0000, 0.0000)  6 Se 2.98
Sm (0.3333, 0.6667, 0.6107)  6 Se 2.94-2.97
Se (0.0000, 0.0000, 0.1636)  3 Sm 2.94
Se (0.3333, 0.6667, 0.0554)  6 Sm 2.97-2.98

Density functional theory data (GGA-PBE) for a relaxed CsSm5Se8 crystal.

For the total DFT energy (no corrections), the calculation gives -156.05 eV for the cell shown. For the total moment, the calculation gives 0.0 μB/cell.

Unit cell a=21.8165 b=4.2589 c=10.3259 alpha=90.00 beta=104.03 gamma=90.00
Closest atoms and distances in Å follow each position.
Space group Cm (No. 8)
Asymmetric unit:
Cs (0.0000, 0.0000, 0.0000)  8 Se 3.87-4.29, 2 Cs 4.26
Sm (0.0004, 0.5000, 0.4995)  6 Se 2.92-2.95
Sm (0.1562, 0.0000, 0.4476)  6 Se 2.86-3.09
Sm (0.2032, 0.0000, 0.8394)  6 Se 2.86-3.08
Sm (0.2974, 0.5000, 0.1597)  6 Se 2.86-3.07
Sm (0.3446, 0.5000, 0.5516)  6 Se 2.86-3.09
Se (0.0790, 0.0000, 0.6456)  4 Sm 2.92-2.95
Se (0.0810, 0.5000, 0.3073)  3 Sm 2.86-2.95
Se (0.1700, 0.5000, 0.9942)  3 Sm 2.86-2.89
Se (0.2279, 0.5000, 0.6432)  5 Sm 2.92-3.09
Se (0.2728, 0.0000, 0.3559)  5 Sm 2.92-3.09
Se (0.3306, 0.0000, 0.0049)  3 Sm 2.86-2.89
Se (0.4198, 0.0000, 0.6918)  3 Sm 2.86-2.95
Se (0.4217, 0.5000, 0.3534)  4 Sm 2.92-2.95

Density functional theory data (GGA-PBE) for a relaxed CsSm2Se3 crystal.

For the total DFT energy (no corrections), the calculation gives -61.15 eV for the cell shown. For the total moment, the calculation gives 0.0 μB/cell.

Unit cell a=7.8427 b=4.2409 c=11.3913 alpha=90.00 beta=103.49 gamma=90.00
Closest atoms and distances in Å follow each position.
Space group P2_1/m (No. 11)
Asymmetric unit:
Cs (0.0275, 0.2500, 0.3436)  6 Se 3.44-3.49
Sm (0.2560, 0.2500, 0.9929)  6 Se 2.94-3.16
Sm (0.4989, 0.7500, 0.3159)  6 Se 2.92-3.07
Se (0.1468, 0.7500, 0.1385)  4 Sm 2.94-3.16
Se (0.3260, 0.7500, 0.5237)  3 Sm 2.92-2.99
Se (0.3908, 0.7500, 0.8469)  5 Sm 2.94-3.07

Density functional theory data (GGA-PBE) for a relaxed CsSm2Se3 crystal.

For the total DFT energy (no corrections), the calculation gives -61.36 eV for the cell shown. For the total moment, the calculation gives 0.0 μB/cell.

Unit cell a=7.6077 b=7.8056 c=7.6085 alpha=90.00 beta=119.92 gamma=90.00
Closest atoms and distances in Å follow each position.
Space group P2_1/m (No. 11)
Asymmetric unit:
Cs (0.0014, 0.2500, 0.0001)  6 Se 3.80-3.81, 2 Cs 3.90
Sm (0.3333, 0.0000, 0.6667)  6 Se 2.94
Se (0.0002, 0.2500, 0.4995)  4 Sm 2.94
Se (0.4990, 0.7500, 0.4991)  4 Sm 2.94
Se (0.5004, 0.2500, 0.0001)  4 Sm 2.94

Density functional theory data (GGA-PBE) for a relaxed Cs3SmSe3 crystal.

For the total DFT energy (no corrections), the calculation gives -110.57 eV for the cell shown. For the total moment, the calculation gives 0.0 μB/cell.

Unit cell a=9.0587 b=15.3350 c=11.6695 alpha=90.00 beta=127.44 gamma=90.00
Closest atoms and distances in Å follow each position.
Space group P2_1/c (No. 14)
Asymmetric unit:
Cs (0.1151, 0.1223, 0.4731)  4 Se 3.63-3.77
Cs (0.1704, 0.1133, 0.8866)  5 Se 3.59-3.80
Cs (0.3304, 0.6726, 0.5424)  6 Se 3.67-4.10
Sm (0.4475, 0.0674, 0.3378)  4 Se 2.75-2.84
Se (0.1782, 0.1952, 0.1973)  1 Sm 2.76
Se (0.3278, 0.5979, 0.8617)  2 Sm 2.83-2.84
Se (0.3610, 0.5433, 0.2731)  1 Sm 2.75

Density functional theory data (GGA-PBE) for a relaxed CsSmSnSe3 crystal.

For the total DFT energy (no corrections), the calculation gives -55.77 eV for the cell shown. For the total moment, the calculation gives 0.0 μB/cell.

Unit cell a=9.3273 b=4.2744 c=11.8491 alpha=90.00 beta=109.72 gamma=90.00
Closest atoms and distances in Å follow each position.
Space group P2_1/m (No. 11)
Asymmetric unit:
Cs (0.2305, 0.2500, 0.2667)  5 Se 3.64-3.80, 1 Sn 3.92
Sm (0.3626, 0.7500, 0.8509)  6 Se 2.89-3.00
Sn (0.1394, 0.2500, 0.5663)  3 Se 2.67-2.80
Se (0.1237, 0.2500, 0.7872)  1 Sn 2.67
Se (0.3414, 0.7500, 0.5928)  2 Sn 2.80, 1 Sm 3.00
Se (0.4112, 0.7500, 0.1051)  3 Sm 2.89-2.92

Density functional theory data (GGA-PBE) for a relaxed Cs4Sm3SnSe8 crystal.

For the total DFT energy (no corrections), the calculation gives -218.69 eV for the cell shown. For the total moment, the calculation gives 0.0 μB/cell.

Unit cell a=8.6948 b=8.6948 c=25.1300 alpha=90.00 beta=90.00 gamma=120.00
Closest atoms and distances in Å follow each position.
Space group R-3m (No. 166, hexagonal axes)
Asymmetric unit:
Cs (0.0000, 0.0000, 0.0000)  6 Se 3.65
Cs (0.0000, 0.5000, 0.0000)  6 Se 3.61-3.63
Sm (0.0000, 0.5000, 0.5000)  6 Se 2.97
Sn (0.0000, 0.0000, 0.5000)  6 Se 2.94
Se (0.0000, 0.0000, 0.2298)  3 Sm 2.97
Se (0.0029, 0.5015, 0.2288)  1 Sn 2.94, 2 Sm 2.97

Density functional theory data (GGA-PBE) for a relaxed Cs3SrSm2Se6 crystal.

For the total DFT energy (no corrections), the calculation gives -107.33 eV for the cell shown. For the total moment, the calculation gives 0.0 μB/cell.

Unit cell a=7.6789 b=13.3024 c=8.7767 alpha=90.00 beta=106.98 gamma=90.00
Closest atoms and distances in Å follow each position.
Space group C2/m (No. 12)
Asymmetric unit:
Cs (0.0000, 0.0000, 0.0000)  6 Se 3.56-3.69
Cs (0.0000, 0.3377, 0.0000)  6 Se 3.58-3.69
Sr (0.0000, 0.5000, 0.5000)  6 Se 3.13-3.14
Sm (0.0000, 0.1671, 0.5000)  6 Se 2.96-2.97
Se (0.2124, 0.0000, 0.6898)  2 Sm 2.96, 1 Sr 3.13
Se (0.2397, 0.3244, 0.6918)  2 Sm 2.97, 1 Sr 3.14

Density functional theory data (GGA-PBE) for a relaxed Cs3TbSm2Se6 crystal.

For the total DFT energy (no corrections), the calculation gives -116.60 eV for the cell shown. For the total moment, the calculation gives 0.0 μB/cell.

Unit cell a=7.4996 b=12.9893 c=8.7565 alpha=90.00 beta=106.59 gamma=90.00
Closest atoms and distances in Å follow each position.
Space group C2/m (No. 12)
Asymmetric unit:
Cs (0.0000, 0.0000, 0.0000)  6 Se 3.61-3.64
Cs (0.0000, 0.3324, 0.0000)  6 Se 3.61-3.63
Tb (0.0000, 0.5000, 0.5000)  6 Se 2.93
Sm (0.0000, 0.1666, 0.5000)  6 Se 2.97
Se (0.2272, 0.3353, 0.6877)  1 Tb 2.93, 2 Sm 2.97
Se (0.2334, 0.0000, 0.6881)  1 Tb 2.93, 2 Sm 2.97

Density functional theory data (GGA-PBE) for a relaxed CsSm2TeSe4 crystal.

For the total DFT energy (no corrections), the calculation gives -148.09 eV for the cell shown. For the total moment, the calculation gives 0.0 μB/cell.

Unit cell a=4.3459 b=14.7901 c=18.6721 alpha=90.00 beta=90.00 gamma=90.00
Closest atoms and distances in Å follow each position.
Space group Cmcm (No. 63)
Asymmetric unit:
Cs (0.0000, 0.2067, 0.2500)  6 Se 3.50-3.80, 2 Te 3.91
Sm (0.0000, 0.3648, 0.0314)  5 Se 2.80-3.01
Te (0.0000, 0.0738, 0.7500)  2 Se 2.59
Se (0.0000, 0.0000, 0.0000)  4 Sm 3.01
Se (0.0000, 0.2487, 0.5869)  3 Sm 2.80-2.94
Se (0.0000, 0.4784, 0.7500)  2 Te 2.59

Density functional theory data (GGA-PBE) for a relaxed CsSmTeSe crystal.

For the total DFT energy (no corrections), the calculation gives -55.06 eV for the cell shown. For the total moment, the calculation gives 0.0 μB/cell.

Unit cell a=4.4638 b=4.4638 c=26.4144 alpha=90.00 beta=90.00 gamma=120.00
Closest atoms and distances in Å follow each position.
Space group R3m (No. 160, hexagonal axes)
Asymmetric unit:
Cs (0.0000, 0.0000, 0.0000)  3 Se 3.75, 3 Te 3.75
Sm (0.0000, 0.0000, 0.8395)  3 Se 2.99, 3 Te 3.16
Te (0.0000, 0.0000, 0.4367)  3 Sm 3.16
Se (0.0000, 0.0000, 0.2300)  3 Sm 2.99

Density functional theory data (GGA-PBE) for a relaxed Cs2SmThSe4 crystal.

For the total DFT energy (no corrections), the calculation gives -40.80 eV for the cell shown. For the total moment, the calculation gives 0.0 μB/cell.

Unit cell a=7.4849 b=4.3332 c=8.8141 alpha=90.00 beta=106.46 gamma=90.00
Closest atoms and distances in Å follow each position.
Space group P2/m (No. 10)
Asymmetric unit:
Cs (0.0000, 0.0000, 0.0000)  6 Se 3.61-3.63
Cs (0.5000, 0.5000, 0.0000)  6 Se 3.60-3.61
Sm (0.0000, 0.5000, 0.5000)  6 Se 2.98-2.99
Th (0.5000, 0.0000, 0.5000)  6 Se 2.96-2.98
Se (0.2330, 0.0000, 0.6911)  1 Th 2.96, 2 Sm 2.98
Se (0.2706, 0.5000, 0.3074)  2 Th 2.98, 1 Sm 2.99